Record 1
An optimized crystal structure of Pr4Tm2Tl, computed with GGA-PBE.

Lattice parameters (Å, degrees): 3.587 8.765 8.555 116.59 102.10 90.00
Fractional coordinates of all 7 atoms:
Pr (0.916, 0.292, 0.832)
Pr (0.084, 0.708, 0.168)
Pr (0.638, 0.405, 0.276)
Pr (0.362, 0.595, 0.724)
Tm (0.785, 0.863, 0.570)
Tm (0.215, 0.137, 0.430)
Tl (0.000, 0.000, 0.000)

Record 2
An optimized crystal structure of Pr3Tm3Tl5, computed with GGA-PBE.

Lattice parameters (Å, degrees): 3.531 11.032 11.032 120.00 90.00 90.00
Fractional coordinates of all 11 atoms:
Pr (0.000, 0.563, 0.563)
Pr (0.000, 0.437, 0.000)
Pr (0.000, 0.000, 0.437)
Tm (0.500, 0.831, 0.831)
Tm (0.500, 0.000, 0.169)
Tm (0.500, 0.169, 0.000)
Tl (0.500, 0.333, 0.667)
Tl (0.500, 0.667, 0.333)
Tl (0.500, 0.318, 0.318)
Tl (0.500, 0.000, 0.682)
Tl (0.500, 0.682, 0.000)

Record 3
An optimized crystal structure of Pr2TmTl4, computed with GGA-PBE.

As for the polymorph energy (0 for the lowest one): 0 meV per atom.

Lattice parameters (Å, degrees): 5.324 5.324 8.516 108.22 108.22 90.00
Fractional coordinates of all 7 atoms:
Pr (0.750, 0.750, 0.500)
Pr (0.250, 0.250, 0.500)
Tm (0.000, 0.000, 0.000)
Tl (0.391, 0.891, 0.782)
Tl (0.891, 0.391, 0.782)
Tl (0.609, 0.109, 0.218)
Tl (0.109, 0.609, 0.218)

Record 4
An optimized crystal structure of PrTm12Tl6, computed with GGA-PBE.

Lattice parameters (Å, degrees): 8.795 8.795 8.795 103.64 103.64 103.64
Fractional coordinates of all 19 atoms:
Pr (0.000, 0.000, 0.000)
Tm (0.871, 0.129, 0.500)
Tm (0.817, 0.552, 0.552)
Tm (0.552, 0.552, 0.817)
Tm (0.448, 0.183, 0.448)
Tm (0.448, 0.448, 0.183)
Tm (0.183, 0.448, 0.448)
Tm (0.129, 0.500, 0.871)
Tm (0.500, 0.871, 0.129)
Tm (0.129, 0.871, 0.500)
Tm (0.871, 0.500, 0.129)
Tm (0.500, 0.129, 0.871)
Tm (0.552, 0.817, 0.552)
Tl (0.691, 0.236, 0.236)
Tl (0.236, 0.236, 0.691)
Tl (0.236, 0.691, 0.236)
Tl (0.764, 0.764, 0.309)
Tl (0.309, 0.764, 0.764)
Tl (0.764, 0.309, 0.764)

Record 5
An optimized crystal structure of PrTm7Tl4, computed with GGA-PBE.

Lattice parameters (Å, degrees): 5.738 9.073 7.961 68.97 68.88 71.57
Fractional coordinates of all 12 atoms:
Pr (0.000, 0.000, 0.000)
Tm (0.797, 0.877, 0.528)
Tm (0.203, 0.123, 0.472)
Tm (0.070, 0.589, 0.271)
Tm (0.930, 0.411, 0.729)
Tm (0.260, 0.694, 0.787)
Tm (0.500, 0.000, 0.000)
Tm (0.740, 0.306, 0.213)
Tl (0.548, 0.287, 0.618)
Tl (0.452, 0.713, 0.382)
Tl (0.686, 0.663, 0.965)
Tl (0.314, 0.337, 0.035)

Record 6
An optimized crystal structure of Pr3Tm4Tl4, computed with GGA-PBE.

Lattice parameters (Å, degrees): 4.703 8.615 9.736 116.26 103.98 90.00
Fractional coordinates of all 11 atoms:
Pr (0.115, 0.115, 0.231)
Pr (0.885, 0.885, 0.769)
Pr (0.000, 0.500, 0.000)
Tm (0.330, 0.130, 0.659)
Tm (0.670, 0.471, 0.341)
Tm (0.670, 0.870, 0.341)
Tm (0.330, 0.529, 0.659)
Tl (0.227, 0.727, 0.453)
Tl (0.773, 0.273, 0.547)
Tl (0.500, 0.808, 0.000)
Tl (0.500, 0.192, 0.000)

Record 7
An optimized crystal structure of Pr4TmTl2, computed with GGA-PBE.

As for the polymorph energy (0 for the lowest one): 0 meV per atom.

Lattice parameters (Å, degrees): 5.644 5.644 9.602 72.91 72.91 60.00
Fractional coordinates of all 7 atoms:
Pr (0.370, 0.370, 0.891)
Pr (0.231, 0.231, 0.307)
Pr (0.769, 0.769, 0.693)
Pr (0.630, 0.630, 0.109)
Tm (0.000, 0.000, 0.000)
Tl (0.112, 0.112, 0.663)
Tl (0.888, 0.888, 0.337)

Record 8
An optimized crystal structure of Pr6TmTl2, computed with GGA-PBE.

As for the polymorph energy (0 for the lowest one): 31 meV per atom.

Lattice parameters (Å, degrees): 6.045 10.086 10.086 72.40 82.67 82.67
Fractional coordinates of all 18 atoms:
Pr (0.465, 0.673, 0.445)
Pr (0.035, 0.555, 0.327)
Pr (0.535, 0.327, 0.555)
Pr (0.965, 0.445, 0.673)
Pr (0.666, 0.114, 0.361)
Pr (0.834, 0.639, 0.886)
Pr (0.334, 0.886, 0.639)
Pr (0.166, 0.361, 0.114)
Pr (0.302, 0.776, 0.997)
Pr (0.198, 0.003, 0.224)
Pr (0.698, 0.224, 0.003)
Pr (0.802, 0.997, 0.776)
Tm (0.250, 0.144, 0.856)
Tm (0.750, 0.856, 0.144)
Tl (0.401, 0.518, 0.793)
Tl (0.099, 0.207, 0.482)
Tl (0.599, 0.482, 0.207)
Tl (0.901, 0.793, 0.518)

Record 9
An optimized crystal structure of PrTm2Tl2, computed with GGA-PBE.

Lattice parameters (Å, degrees): 3.780 5.478 14.136 90.00 97.69 90.00
Fractional coordinates of all 10 atoms:
Pr (0.853, 0.750, 0.704)
Pr (0.147, 0.250, 0.296)
Tm (0.049, 0.750, 0.100)
Tm (0.951, 0.250, 0.900)
Tm (0.237, 0.750, 0.474)
Tm (0.763, 0.250, 0.526)
Tl (0.644, 0.750, 0.289)
Tl (0.356, 0.250, 0.711)
Tl (0.453, 0.750, 0.910)
Tl (0.547, 0.250, 0.090)

Record 10
An optimized crystal structure of Pr5Tm2Tl, computed with GGA-PBE.

Lattice parameters (Å, degrees): 3.512 11.486 8.890 130.24 101.39 90.00
Fractional coordinates of all 8 atoms:
Pr (0.000, 0.500, 0.000)
Pr (0.631, 0.398, 0.262)
Pr (0.369, 0.602, 0.738)
Pr (0.631, 0.864, 0.262)
Pr (0.369, 0.136, 0.738)
Tm (0.272, 0.772, 0.543)
Tm (0.728, 0.228, 0.457)
Tl (0.000, 0.000, 0.000)

Record 11
An optimized crystal structure of Pr3Tm2Tl, computed with GGA-PBE.

As for the polymorph energy (0 for the lowest one): 14 meV per atom.

Lattice parameters (Å, degrees): 6.450 7.070 9.235 90.00 110.46 90.00
Fractional coordinates of all 12 atoms:
Pr (0.836, 0.250, 0.000)
Pr (0.164, 0.750, 0.000)
Pr (0.228, 0.250, 0.372)
Pr (0.856, 0.250, 0.627)
Pr (0.144, 0.750, 0.373)
Pr (0.772, 0.750, 0.628)
Tm (0.636, 0.500, 0.272)
Tm (0.636, 0.000, 0.272)
Tm (0.364, 0.000, 0.728)
Tm (0.364, 0.500, 0.728)
Tl (0.682, 0.750, 0.000)
Tl (0.318, 0.250, 0.000)

Record 12
An optimized crystal structure of Pr2TmTl9, computed with GGA-PBE.

Lattice parameters (Å, degrees): 4.821 4.821 14.447 90.00 90.00 90.00
Fractional coordinates of all 12 atoms:
Pr (0.000, 0.000, 0.331)
Pr (0.000, 0.000, 0.669)
Tm (0.000, 0.000, 0.000)
Tl (0.500, 0.500, 0.000)
Tl (0.500, 0.500, 0.332)
Tl (0.500, 0.500, 0.668)
Tl (0.500, 0.000, 0.161)
Tl (0.500, 0.000, 0.500)
Tl (0.500, 0.000, 0.839)
Tl (0.000, 0.500, 0.161)
Tl (0.000, 0.500, 0.500)
Tl (0.000, 0.500, 0.839)

Listing magnetic moment for the structures above in their given order: 0.00 0.00 0.00 0.00 0.00 0.04 0.00 0.00 0.00 0.00 0.00 0.00 μB per formula unit.
Listing E_form for the structures above in their given order: -0.008 0.147 -0.237 -0.001 0.012 -0.215 0.009 -0.122 -0.259 0.003 -0.083 -0.279 eV per atom.